No. 1
14
Lattice="8.0604 -0.0589 0.0487 4.0443 5.1673 -0.0151 4.0161 -1.0452 5.1211" Properties=species:S:1:pos:R:3 comment="SiHg2O4 (GGA-PBE, relaxed)" raw_formation_energy_kj_per_mol_atoms=-129 polymorph_energy_mev_per_atom=0 pbc="T T T"
Si 0.0000 0.0000 0.0000
Si 4.0302 1.0158 1.2887
Hg 13.5859 1.8799 4.8312
Hg 10.5954 4.2149 2.9008
Hg 6.5652 3.1991 1.6122
Hg 9.5557 0.8641 3.5426
O 12.0103 0.5422 5.0113
O 12.1710 4.6432 1.6208
O 9.4293 3.4668 4.4453
O 14.7520 3.5375 4.3869
O 5.3991 1.5415 2.0565
O 10.7218 1.6122 1.9981
O 7.9800 0.4359 4.8227
O 8.1408 4.5368 1.4321

---

No. 2
16
Lattice="-0.4281 3.7705 4.2200 -5.7112 0.3331 -0.8770 -1.1030 -5.7291 5.0069" Properties=species:S:1:pos:R:3 comment="SiHg3O4 (GGA-PBE, relaxed)" raw_formation_energy_kj_per_mol_atoms=-102 pbc="T T T"
Si -0.5779 0.0339 -0.0885
Si -5.8989 -0.6797 3.8254
Hg -4.4165 2.2129 1.5592
Hg -4.4962 2.3832 5.0432
Hg -2.4083 0.7375 2.9093
Hg -2.0792 -2.6929 2.3634
Hg -3.0262 -2.4720 5.7142
Hg -4.9812 -0.1364 7.2452
O -4.7132 0.5633 -0.3937
O -0.9198 2.6946 2.8807
O -1.5209 -0.5349 1.1326
O -5.0466 0.6880 3.4985
O -5.7325 -1.7941 2.5869
O -1.8295 -0.6288 4.7801
O -5.4353 -1.3305 5.2625
O -2.2353 -4.2454 4.3754

---

No. 3
5
Lattice="5.0228 0.0000 0.0000 0.0000 5.0228 0.0000 0.0000 0.0000 5.0228" Properties=species:S:1:pos:R:3 comment="Si3HgO (GGA-PBE, relaxed)" raw_formation_energy_kj_per_mol_atoms=164 polymorph_energy_mev_per_atom=1395 pbc="T T T"
Si 0.0000 2.5114 0.0000
Si 0.0000 0.0000 2.5114
Si 2.5114 0.0000 0.0000
Hg 0.0000 0.0000 0.0000
O 2.5114 2.5114 2.5114

---

No. 4
5
Lattice="-3.0597 0.6452 1.2479 0.7164 -1.8560 2.7161 1.6832 5.8531 5.6424" Properties=species:S:1:pos:R:3 comment="Si2Hg2O (GGA-PBE, relaxed)" raw_formation_energy_kj_per_mol_atoms=35 pbc="T T T"
Si -1.2741 2.9465 4.4362
Si 0.6140 1.6959 5.1703
Hg -0.6637 0.5436 2.6332
Hg 0.0036 4.0987 6.9732
O 0.0000 0.0000 0.0000

---

No. 5
5
Lattice="-0.3760 -2.0746 -4.6640 -3.4341 -3.3573 1.7702 -3.7767 3.2593 -1.1453" Properties=species:S:1:pos:R:3 comment="SiHg3O (GGA-PBE, relaxed)" raw_formation_energy_kj_per_mol_atoms=53 polymorph_energy_mev_per_atom=0 pbc="T T T"
Si 0.0000 0.0000 0.0000
Hg -1.7171 -1.6786 0.8851
Hg -1.8884 1.6296 -0.5727
Hg -0.1880 -1.0373 -2.3320
O -3.7934 -1.0863 -2.0195

---

No. 6
5
Lattice="3.6329 0.0000 0.0000 0.0000 3.6329 0.0000 0.0000 0.0000 3.6329" Properties=species:S:1:pos:R:3 comment="SiHgO3 (GGA-PBE, relaxed)" raw_formation_energy_kj_per_mol_atoms=-125 pbc="T T T"
Si 0.0000 0.0000 0.0000
Hg 1.8164 1.8164 1.8164
O 0.0000 1.8164 0.0000
O 0.0000 0.0000 1.8164
O 1.8164 0.0000 0.0000

---

Values for volume, Å³/atom, ordered as above
15.227 15.783 25.344 18.031 26.819 9.589
Values for total moment, μB/cell, ordered as above
0.00 0.00 0.00 0.00 1.06 0.00